A relaxed La4ScIr crystal, computed with PBEsol.

Output
ΔE_f	3.70	eV/f.u.
volume	27.204	Å³ per atom
calculated density	8.1	g cm⁻³
SG	F-43m (216)

abc: 6.1343 6.1343 6.1343
angles: 60.00 60.00 60.00
Last column: nearest neighbours and their distance in Å.
Fractional coordinates of all 6 atoms:
La (0.1228, 0.1228, 0.1228)  6 La 3.01-3.12
La (0.1228, 0.1228, 0.6317)  6 La 3.01-3.12
La (0.1228, 0.6317, 0.1228)  6 La 3.01-3.12
La (0.6317, 0.1228, 0.1228)  6 La 3.01-3.12
Sc (0.5000, 0.5000, 0.5000)  12 La 3.60, 4 Ir 3.76
Ir (0.7500, 0.7500, 0.7500)  12 La 3.59, 4 Sc 3.76



A relaxed LaSc2Ir2 crystal, computed with PBEsol.

Output
ΔE_f	-3.80	eV/f.u.
volume	21.331	Å³ per atom
calculated density	9.5	g cm⁻³
SG	I4/mmm (139)

abc: 6.6067 6.6067 6.6067
angles: 142.39 142.39 54.23
Last column: nearest neighbours and their distance in Å.
Fractional coordinates of all 5 atoms:
La (0.0000, 0.0000, 0.0000)  8 Ir 3.28, 8 Sc 3.63
Sc (0.2500, 0.7500, 0.5000)  4 Ir 2.69
Sc (0.7500, 0.2500, 0.5000)  4 Ir 2.69
Ir (0.3891, 0.3891, 0.0000)  1 Ir 2.61, 4 Sc 2.69
Ir (0.6109, 0.6109, 0.0000)  1 Ir 2.61, 4 Sc 2.69



A relaxed LaScIr4 crystal, computed with PBEsol.

Output
ΔE_f	-3.92	eV/f.u.
volume	17.556	Å³ per atom
calculated density	15.0	g cm⁻³
SG	F-43m (216)

abc: 5.3010 5.3010 5.3010
angles: 60.00 60.00 60.00
Last column: nearest neighbours and their distance in Å.
Fractional coordinates of all 6 atoms:
La (0.0000, 0.0000, 0.0000)  12 Ir 3.11, 4 Sc 3.25
Sc (0.7500, 0.7500, 0.7500)  12 Ir 3.11, 4 La 3.25
Ir (0.3755, 0.3755, 0.3755)  6 Ir 2.64-2.66
Ir (0.3755, 0.3755, 0.8736)  6 Ir 2.64-2.66
Ir (0.3755, 0.8736, 0.3755)  6 Ir 2.64-2.66
Ir (0.8736, 0.3755, 0.3755)  6 Ir 2.64-2.66



A relaxed La2IrSe crystal, computed with PBEsol.

Output
volume	26.224	Å³ per atom
calculated density	8.7	g cm⁻³
SG	P4mm (99)
distance to the lowest polymorph of the same formula	20	kJ/mol of formula units
uncorrected formation energy	-4.93	eV per formula unit

abc: 4.2103 4.2103 5.9176
angles: 90.00 90.00 90.00
Last column: nearest neighbours and their distance in Å.
Fractional coordinates of all 4 atoms:
La (0.0000, 0.0000, 0.0000)  2 Se 2.96, 4 Ir 2.98
La (0.5000, 0.5000, 0.4991)  2 Ir 2.95-2.97, 4 Se 2.98
Ir (0.5000, 0.5000, 0.0004)  6 La 2.95-2.98
Se (0.0000, 0.0000, 0.5000)  6 La 2.96-2.98



A relaxed LaIrSe2 crystal, computed with PBEsol.

Output
volume	22.190	Å³ per atom
calculated density	9.1	g cm⁻³
SG	Cmmm (65)
distance to the lowest polymorph of the same formula	171	kJ/mol of formula units
uncorrected formation energy	-2.13	eV per formula unit

abc: 3.7915 3.7915 6.8805
angles: 90.00 90.00 116.18
Last column: nearest neighbours and their distance in Å.
Fractional coordinates of all 4 atoms:
La (0.0000, 0.0000, 0.0000)  4 Se 2.83
Ir (0.0000, 0.0000, 0.5000)  4 Se 2.47
Se (0.5000, 0.5000, 0.2902)  2 Ir 2.47
Se (0.5000, 0.5000, 0.7098)  2 Ir 2.47



A relaxed La2IrSe crystal, computed with PBEsol.

Output
volume	27.860	Å³ per atom
calculated density	8.2	g cm⁻³
SG	R3m (160)
distance to the lowest polymorph of the same formula	222	kJ/mol of formula units
uncorrected formation energy	-2.84	eV per formula unit

abc: 7.2614 7.2614 7.2614
angles: 34.82 34.82 34.82
Last column: nearest neighbours and their distance in Å.
Fractional coordinates of all 4 atoms:
La (0.0000, 0.0000, 0.0000)  3 Se 3.06, 3 Ir 3.11
La (0.1762, 0.1762, 0.1762)  3 Ir 3.07, 3 Se 3.11
Ir (0.4230, 0.4230, 0.4230)  3 Se 2.51
Se (0.7526, 0.7526, 0.7526)  3 Ir 2.51



A relaxed LaIr3Se crystal, computed with PBEsol.

Output
volume	20.044	Å³ per atom
calculated density	13.2	g cm⁻³
SG	Pm-3m (221)
uncorrected formation energy	1.84	eV per formula unit

abc: 4.6450 4.6450 4.6450
angles: 90.00 90.00 90.00
Last column: nearest neighbours and their distance in Å.
Fractional coordinates of all 5 atoms:
La (0.0000, 0.0000, 0.0000)  12 Ir 3.28
Ir (0.0000, 0.5000, 0.5000)  2 Se 2.32
Ir (0.5000, 0.0000, 0.5000)  2 Se 2.32
Ir (0.5000, 0.5000, 0.0000)  2 Se 2.32
Se (0.5000, 0.5000, 0.5000)  6 Ir 2.32



A relaxed LaIrSe2 crystal, computed with PBEsol.

Output
volume	22.302	Å³ per atom
calculated density	9.1	g cm⁻³
SG	Fmmm (69)
distance to the lowest polymorph of the same formula	179	kJ/mol of formula units
uncorrected formation energy	-2.04	eV per formula unit

abc: 5.7162 5.2010 4.5883
angles: 71.14 59.43 49.43
Last column: nearest neighbours and their distance in Å.
Fractional coordinates of all 4 atoms:
La (0.0000, 0.0000, 0.0000)  2 Ir 2.78, 4 Se 2.86
Ir (0.5000, 0.5000, 0.5000)  2 La 2.78, 4 Se 2.86
Se (0.0000, 0.5000, 0.5000)  2 Se 2.78, 2 La 2.86, 2 Ir 2.86
Se (0.5000, 0.0000, 0.0000)  2 Se 2.78, 2 La 2.86, 2 Ir 2.86



A relaxed La2IrSe crystal, computed with PBEsol.

Output
volume	26.668	Å³ per atom
calculated density	8.5	g cm⁻³
SG	R-3m (166)
distance to the lowest polymorph of the same formula	0	kJ/mol of formula units
uncorrected formation energy	-5.14	eV per formula unit

abc: 7.5733 7.5733 7.5733
angles: 31.73 31.73 31.73
Last column: nearest neighbours and their distance in Å.
Fractional coordinates of all 4 atoms:
La (0.2419, 0.2419, 0.2419)  3 Ir 2.89, 3 Se 3.10
La (0.7581, 0.7581, 0.7581)  3 Ir 2.89, 3 Se 3.10
Ir (0.5000, 0.5000, 0.5000)  6 La 2.89
Se (0.0000, 0.0000, 0.0000)  6 La 3.10



A relaxed LaIrSe2 crystal, computed with PBEsol.

Output
volume	21.394	Å³ per atom
calculated density	9.5	g cm⁻³
SG	Immm (71)
distance to the lowest polymorph of the same formula	0	kJ/mol of formula units
uncorrected formation energy	-3.90	eV per formula unit

abc: 5.2801 5.2801 5.2801
angles: 136.86 119.05 77.57
Last column: nearest neighbours and their distance in Å.
Fractional coordinates of all 4 atoms:
La (0.0000, 0.0000, 0.0000)  8 Se 3.09-3.23, 4 Ir 3.31
Ir (0.5000, 0.5000, 0.0000)  4 Se 2.48
Se (0.3134, 0.8134, 0.5000)  2 Ir 2.48
Se (0.6866, 0.1866, 0.5000)  2 Ir 2.48



A relaxed La2IrSe crystal, computed with PBEsol.

Output
volume	23.649	Å³ per atom
calculated density	9.6	g cm⁻³
SG	P2/m (10)
distance to the lowest polymorph of the same formula	52	kJ/mol of formula units
uncorrected formation energy	-4.60	eV per formula unit

abc: 3.5835 3.5835 7.3666
angles: 90.00 90.07 90.00
Last column: nearest neighbours and their distance in Å.
Fractional coordinates of all 4 atoms:
La (0.0012, 0.0000, 0.2676)  4 Ir 3.05-3.06, 4 Se 3.21
La (0.9988, 0.0000, 0.7324)  4 Ir 3.05-3.06, 4 Se 3.21
Ir (0.5000, 0.5000, 0.5000)  8 La 3.05-3.06
Se (0.5000, 0.5000, 0.0000)  8 La 3.21, 4 Se 3.58



A relaxed LaSi2Ir2 crystal, computed with PBEsol.

Output
volume	17.206	Å³ per atom
calculated density	11.2	g cm⁻³
SG	I4/mmm (139)
uncorrected formation energy	-5.39	eV per formula unit

abc: 5.8821 5.8821 5.8821
angles: 139.21 139.21 59.06
Last column: nearest neighbours and their distance in Å.
Fractional coordinates of all 5 atoms:
La (0.0000, 0.0000, 0.0000)  8 Si 3.17, 8 Ir 3.28
Si (0.3737, 0.3737, 0.0000)  4 Ir 2.41, 1 Si 2.59
Si (0.6263, 0.6263, 0.0000)  4 Ir 2.41, 1 Si 2.59
Ir (0.2500, 0.7500, 0.5000)  4 Si 2.41
Ir (0.7500, 0.2500, 0.5000)  4 Si 2.41



- Which value of calculated density does entry 1 give?
  8.1 g cm⁻³